A geometry-optimized UTiSe6 structure, computed with GGA-PBE.

## Properties
formation energy (no corrections) = -593 meV/atom
space-group type = No. 2

Lattice parameters (Å, degrees): 7.269 7.270 7.292 60.13 60.12 60.02
Atoms (fractional coordinates):
U1 0.000 0.000 0.000
Ti1 0.500 0.500 0.500
Se1 0.255 0.743 0.258
Se2 0.256 0.257 0.745
Se3 0.259 0.744 0.743
Se4 0.741 0.256 0.257
Se5 0.744 0.743 0.255
Se6 0.745 0.257 0.742